A relaxed structure of YTe2Ru, computed with PBEsol.

The structure in extended XYZ format:
```
4
Lattice="-0.5192 -1.7592 2.9881 0.5822 -2.5890 -2.2916 7.0788 0.3308 1.4247" Properties=species:S:1:pos:R:3 pbc="T T T"
Y 3.5709 -2.0087 1.0606
Te 1.5624 0.0730 0.3144
Te 5.5165 0.2578 1.1102
Ru 0.0315 -2.1741 0.3483
```

Summary:
calculated volume	21.71	Å³ per atom
total magnetization	0.004	μB/atom
DFT total energy	-6.253	eV per atom
space-group type	Cmmm